[1]
DFT (PBE) results for SiP2Au after structural relaxation.

a b c (Å): 2.6797 4.8097 5.0310
angles (deg): 90.00 90.00 90.00
Last column: nearest neighbours and their distance in Å.
Positions (direct):
Au 0.0000 0.5000 0.5000  2 Au 2.68, 4 Si 2.75, 4 P 2.85
P 0.0000 0.0000 0.0000  6 P 2.68-2.75, 4 Si 2.85
P 0.5000 0.5000 0.0000  6 P 2.68-2.75, 4 Au 2.85
Si 0.5000 0.0000 0.5000  2 Si 2.68, 4 Au 2.75, 4 P 2.85

Properties
E_form (uncorrected) = 544 meV per atom
symmetry = Pmmm (47)

---

[2]
DFT (PBE) results for SiP2Au after structural relaxation.

a b c (Å): 3.8462 3.8462 7.2052
angles (deg): 63.82 63.82 49.14
Last column: nearest neighbours and their distance in Å.
Positions (direct):
Au 0.2098 0.2098 0.2341  2 Si 2.49, 3 P 2.52-2.67
P 0.0448 0.0448 0.9910  2 P 2.27, 1 Au 2.52
P 0.7131 0.7131 0.7401  2 P 2.27, 1 Si 2.37
Si 0.5323 0.5323 0.5348  3 P 2.37-2.55, 2 Au 2.49

Properties
E_form (uncorrected) = 127 meV per atom
symmetry = Cm (8)